Sr2PrGaO5 | PBE | optimized geometry

Properties
ΔE_f (raw) ... -2.68 eV/atom

a b c (Å): 7.491 7.477 6.853
angles (deg): 62.85 62.65 54.50
Fractional positions:
Sr: 0.750 0.750 0.750
Sr: 0.674 0.326 0.326
O: 0.999 0.717 0.001
Ga: 0.748 0.748 0.252
O: 0.497 0.794 0.206
O: 0.717 0.999 0.283
O: 0.001 0.283 0.999
Sr: 0.250 0.250 0.250
O: 0.000 0.000 0.500
Sr: 0.326 0.674 0.674
O: 0.500 0.500 0.000
Pr: 0.821 0.179 0.821
Ga: 0.252 0.252 0.748
O: 0.503 0.206 0.794
O: 0.283 0.001 0.717
O: 0.794 0.497 0.503
Pr: 0.179 0.821 0.179
O: 0.206 0.503 0.497

Ca2CeZn9 | PBE | optimized geometry

Properties
ΔE_f ... -0.251 eV/atom

a b c (Å): 5.497 5.497 9.236
angles (deg): 72.69 72.69 60.00
Last column: magnetic moment on the atom in μB.
Fractional positions:
Zn: 0.924 0.415 0.245  0.00
Zn: 0.415 0.924 0.245  0.00
Zn: 0.665 0.665 0.005  0.00
Ca: 0.857 0.857 0.428  0.00
Ce: 0.000 0.000 0.000  0.63
Zn: 0.335 0.335 0.995  0.00
Zn: 0.500 0.500 0.500  0.00
Zn: 0.415 0.415 0.245  0.00
Zn: 0.585 0.585 0.755  0.00
Zn: 0.076 0.585 0.755  0.00
Ca: 0.143 0.143 0.572  0.00
Zn: 0.585 0.076 0.755  0.00

PaBe4Co | PBE | optimized geometry

Properties
ΔE_f ... 0.184 eV/atom

a b c (Å): 4.682 4.682 4.682
angles (deg): 60.00 60.00 60.00
Last column: magnetic moment on the atom in μB.
Fractional positions:
Co: 0.000 0.000 0.000  0.81
Be: 0.119 0.627 0.627  0.04
Be: 0.627 0.627 0.627  0.04
Be: 0.627 0.119 0.627  0.04
Pa: 0.250 0.250 0.250  0.73
Be: 0.627 0.627 0.119  0.04

LaMo2C2 | PBE | optimized geometry

Properties
ΔE to the lowest computed polymorph ... 374 meV/atom
ΔE_f ... 0.316 eV/atom

a b c (Å): 4.148 4.148 5.126
angles (deg): 66.13 66.13 90.00
Fractional positions:
Mo: 0.345 0.345 0.311
Mo: 0.655 0.655 0.689
C: 0.750 0.250 0.500
C: 0.250 0.750 0.500
La: 0.000 0.000 0.000

SrNi2Cl | PBE | optimized geometry

Properties
ΔE to the lowest computed polymorph ... 277 meV/atom
ΔE_f (raw) ... -0.09 eV/atom

a b c (Å): 6.350 6.350 6.350
angles (deg): 145.96 143.58 50.71
Last column: magnetic moment on the atom in μB.
Fractional positions:
Sr: 0.750 0.250 0.500  -0.02
Cl: 0.250 0.750 0.500  0.00
Ni: 0.500 0.500 0.000  0.67
Ni: 0.000 0.000 0.000  0.67

TbGa6 | PBE | optimized geometry

Properties
ΔE to the lowest computed polymorph ... 700 meV/atom
ΔE_f ... 0.383 eV/atom

a b c (Å): 8.432 8.432 8.125
angles (deg): 90.00 90.00 90.00
Fractional positions:
Ga: 0.000 0.215 0.812
Ga: 0.000 0.785 0.188
Tb: 0.000 0.500 0.000
Ga: 0.000 0.500 0.349
Ga: 0.785 0.000 0.812
Ga: 0.500 0.000 0.651
Ga: 0.785 0.000 0.188
Tb: 0.500 0.000 0.000
Ga: 0.000 0.500 0.651
Ga: 0.000 0.785 0.812
Ga: 0.000 0.215 0.188
Ga: 0.215 0.000 0.812
Ga: 0.215 0.000 0.188
Ga: 0.500 0.000 0.349

Ba2Na2CdO4 | PBE | optimized geometry

Properties
ΔE_f (raw) ... -1.67 eV/atom

a b c (Å): 3.566 7.291 6.333
angles (deg): 102.77 90.00 104.15
Fractional positions:
Ba: 0.131 0.263 0.542
O: 0.516 0.031 0.772
Ba: 0.869 0.737 0.458
O: 0.484 0.969 0.228
Cd: 0.000 0.000 0.000
O: 0.239 0.479 0.254
Na: 0.326 0.652 0.963
O: 0.761 0.521 0.746
Na: 0.674 0.348 0.037

InFe2Mo | PBE | optimized geometry

Properties
ΔE_f ... 0.357 eV/atom

a b c (Å): 4.593 4.593 4.996
angles (deg): 82.15 82.15 36.29
Last column: magnetic moment on the atom in μB.
Fractional positions:
Mo: 0.750 0.750 0.750  -0.21
Fe: 0.498 0.498 0.546  2.22
In: 0.250 0.250 0.250  -0.03
Fe: 0.002 0.002 0.954  2.22